DFT (PBE-GGA) results for a relaxed Ho5Mg2Cd crystal.

Calculated values
As for the space group: No. 140.

Unit cell a=7.741 b=7.741 c=9.461 alpha=114.15 beta=114.15 gamma=90.00
Atoms (fractional coordinates):
Ho1 0.505 0.678 0.683
Ho2 0.822 0.995 0.317
Ho3 0.000 0.000 0.000
Ho4 0.500 0.500 0.000
Ho5 0.178 0.005 0.683
Ho6 0.678 0.178 0.683
Ho7 0.005 0.505 0.683
Ho8 0.322 0.822 0.317
Ho9 0.995 0.495 0.317
Ho10 0.495 0.322 0.317
Mg1 0.128 0.372 0.000
Mg2 0.628 0.128 0.000
Mg3 0.372 0.872 0.000
Mg4 0.872 0.628 0.000
Cd1 0.750 0.750 0.500
Cd2 0.250 0.250 0.500


DFT (PBE-GGA) results for a relaxed HoMg8Cd4 crystal.

Calculated values
As for the space group: No. 139.

Unit cell a=5.906 b=7.658 c=7.658 alpha=81.45 beta=67.32 gamma=67.32
Atoms (fractional coordinates):
Ho1 0.000 0.000 0.000
Mg1 0.000 0.349 0.651
Mg2 0.000 0.651 0.349
Mg3 0.349 0.651 0.651
Mg4 0.651 0.349 0.349
Mg5 0.500 0.788 0.212
Mg6 0.500 0.212 0.788
Mg7 0.288 0.212 0.212
Mg8 0.712 0.788 0.788
Cd1 0.000 0.000 0.500
Cd2 0.500 0.000 0.500
Cd3 0.000 0.500 0.000
Cd4 0.500 0.500 0.000


DFT (PBE-GGA) results for a relaxed Ho3MgCd crystal.

Calculated values
As for the space group: No. 15. The energy above the most stable polymorph in this dataset comes out at 130 meV/atom.

Unit cell a=6.694 b=6.694 c=15.149 alpha=85.04 beta=85.04 gamma=57.00
Atoms (fractional coordinates):
Ho1 0.624 0.020 0.793
Ho2 0.980 0.376 0.707
Ho3 0.376 0.980 0.207
Ho4 0.020 0.624 0.293
Ho5 0.512 0.876 0.600
Ho6 0.124 0.488 0.900
Ho7 0.488 0.124 0.400
Ho8 0.876 0.512 0.100
Ho9 0.147 0.972 0.888
Ho10 0.028 0.853 0.612
Ho11 0.972 0.147 0.388
Ho12 0.853 0.028 0.112
Mg1 0.653 0.457 0.916
Mg2 0.543 0.347 0.584
Mg3 0.347 0.543 0.084
Mg4 0.457 0.653 0.416
Cd1 0.000 0.500 0.500
Cd2 0.500 0.000 0.000
Cd3 0.584 0.416 0.250
Cd4 0.416 0.584 0.750


DFT (PBE-GGA) results for a relaxed HoMgCd crystal.

Calculated values
As for the space group: No. 107.

Unit cell a=3.439 b=3.439 c=6.732 alpha=104.80 beta=104.80 gamma=90.00
Atoms (fractional coordinates):
Mg1 0.603 0.603 0.205
Ho1 0.289 0.289 0.579
Cd1 0.958 0.958 0.916


DFT (PBE-GGA) results for a relaxed Ho8Mg2Cd crystal.

Calculated values
As for the space group: No. 12.

Unit cell a=5.342 b=8.482 c=8.514 alpha=119.14 beta=108.28 gamma=90.00
Atoms (fractional coordinates):
Ho1 0.409 0.548 0.817
Ho2 0.682 0.943 0.363
Ho3 0.865 0.820 0.730
Ho4 0.935 0.279 0.869
Ho5 0.135 0.180 0.270
Ho6 0.318 0.057 0.637
Ho7 0.591 0.452 0.183
Ho8 0.065 0.721 0.131
Mg1 0.771 0.383 0.543
Mg2 0.229 0.617 0.457
Cd1 0.500 0.000 0.000


DFT (PBE-GGA) results for a relaxed Ho2Mg15Cd2 crystal.

Calculated values
As for the space group: No. 166.

Unit cell a=7.732 b=7.732 c=7.732 alpha=81.90 beta=81.90 gamma=81.90
Atoms (fractional coordinates):
Ho1 0.324 0.324 0.324
Ho2 0.676 0.676 0.676
Mg1 0.500 0.000 0.000
Mg2 0.000 0.000 0.500
Mg3 0.000 0.500 0.000
Mg4 0.000 0.694 0.306
Mg5 0.694 0.306 0.000
Mg6 0.306 0.000 0.694
Mg7 0.306 0.694 0.000
Mg8 0.694 0.000 0.306
Mg9 0.000 0.306 0.694
Mg10 0.160 0.648 0.648
Mg11 0.648 0.648 0.160
Mg12 0.648 0.160 0.648
Mg13 0.840 0.352 0.352
Mg14 0.352 0.352 0.840
Mg15 0.352 0.840 0.352
Cd1 0.100 0.100 0.100
Cd2 0.900 0.900 0.900


Number 1: D(E_F) 15.343 states/eV per cell, spin magnetization 0.0 Bohr magnetons per cell, final energy -3.35 eV per atom. Number 2: D(E_F) 5.394 states/eV per cell, spin magnetization 0.0 Bohr magnetons per cell, final energy -1.72 eV per atom. Number 3: D(E_F) 24.389 states/eV per cell, spin magnetization 0.0 Bohr magnetons per cell, final energy -3.26 eV per atom. Number 4: D(E_F) 2.305 states/eV per cell, spin magnetization 0.1 Bohr magnetons per cell, final energy -2.53 eV per atom. Number 5: D(E_F) 12.461 states/eV per cell, spin magnetization 0.0 Bohr magnetons per cell, final energy -3.77 eV per atom. Number 6: D(E_F) 7.493 states/eV per cell, spin magnetization 0.0 Bohr magnetons per cell, final energy -1.87 eV per atom.